Sb2SeCl | SCAN | PBEsol geometry

Output
Crystal system: orthorhombic
DFT total energy (eV per atom): -25.56
Formation energy from raw total energies (eV per atom): 0.083
ρ (g/cm3): 6.02
Space group: Cmm2

Cell lengths 3.462, 3.392, 9.772 Å; angles 90.00, 90.00, 120.68 degrees
Element x y z (fractional)
Sb 0.000 0.000 0.980
Sb 0.500 0.000 0.275
Se 0.000 0.000 0.480
Cl 0.500 0.000 0.765